Density functional theory data (GGA-PBE) for KPtCl2 after structural relaxation.

Calculated values
E_form (uncorrected), eV per atom: -0.249
Total energy, eV per atom: -2.9571
ρ, g/cm³: 5.70
Energy above the lowest structure with this stoichiometry, meV per atom: 552

Cell: 3.513 3.524 7.179 Å, 90.00 90.00 90.00°
Space group Pmmm (No. 47)
One atom of each set of equivalent atoms:
K 0.000 0.000 0.000 (multiplicity 1)
Pt 0.000 0.000 0.500 (multiplicity 1)
Cl 0.500 0.500 0.277 (multiplicity 2)